1.
The following is a GGA-PBE calculation of a geometry-optimized Tl3RuSe structure, from the Alexandria database.

Results
total DFT energy (no corrections): -3.679 eV per atom
total magnetization: 0.0 μB/f.u.
V: 147 Å³/cell
space group: Pm-3m
energy above the lowest structure with this stoichiometry: 0.00 eV/f.u.
formation energy (no corrections): 28.2 kJ per mole of atoms

Lattice parameters (Å, degrees): 5.2729 5.2729 5.2729 90.00 90.00 90.00
Closest atoms and distances in Å follow each position.
Positions (direct):
Tl (0.0000, 0.0000, 0.5000)  2 Ru 2.64
Tl (0.0000, 0.5000, 0.0000)  2 Ru 2.64
Tl (0.5000, 0.0000, 0.0000)  2 Ru 2.64
Ru (0.0000, 0.0000, 0.0000)  6 Tl 2.64
Se (0.5000, 0.5000, 0.5000)  12 Tl 3.73

2.
The following is a GGA-PBE calculation of a geometry-optimized Tl2RuSe2 structure, from the Alexandria database.

Results
total DFT energy (no corrections): -4.185 eV per atom
total magnetization: 0.0 μB/f.u.
V: 243 Å³/cell
space group: P4/mbm
formation energy (no corrections): 1.0 kJ per mole of atoms

Lattice parameters (Å, degrees): 6.3653 6.3653 6.0076 90.00 90.00 90.00
Closest atoms and distances in Å follow each position.
Positions (direct):
Tl (0.1915, 0.3085, 0.0000)  5 Tl 3.27-3.45, 2 Se 3.35
Tl (0.3085, 0.8085, 0.0000)  5 Tl 3.27-3.45, 2 Se 3.35
Tl (0.6915, 0.1915, 0.0000)  5 Tl 3.27-3.45, 2 Se 3.35
Tl (0.8085, 0.6915, 0.0000)  5 Tl 3.27-3.45, 2 Se 3.35
Ru (0.0000, 0.0000, 0.5000)  4 Se 2.45
Ru (0.5000, 0.5000, 0.5000)  4 Se 2.45
Se (0.1438, 0.6438, 0.5000)  2 Ru 2.45, 1 Se 2.59
Se (0.3562, 0.1438, 0.5000)  2 Ru 2.45, 1 Se 2.59
Se (0.6438, 0.8562, 0.5000)  2 Ru 2.45, 1 Se 2.59
Se (0.8562, 0.3562, 0.5000)  2 Ru 2.45, 1 Se 2.59

3.
The following is a GGA-PBE calculation of a geometry-optimized TlRuSe2 structure, from the Alexandria database.

Results
total DFT energy (no corrections): -4.715 eV per atom
total magnetization: 0.0 μB/f.u.
V: 93 Å³/cell
space group: Imm2
energy above the lowest structure with this stoichiometry: 0.54 eV/f.u.
formation energy (no corrections): -6.0 kJ per mole of atoms

Lattice parameters (Å, degrees): 9.4045 9.4045 9.4045 161.31 159.62 27.79
Closest atoms and distances in Å follow each position.
Positions (direct):
Tl (0.0000, 0.0000, 0.0000)  4 Tl 3.05-3.33
Ru (0.2573, 0.7573, 0.5000)  6 Se 2.45-2.59
Se (0.6590, 0.6590, 0.0000)  2 Ru 2.45
Se (0.8270, 0.3270, 0.5000)  4 Ru 2.59

4.
The following is a GGA-PBE calculation of a geometry-optimized TlRu3Se structure, from the Alexandria database.

Results
total DFT energy (no corrections): -5.866 eV per atom
total magnetization: 0.0 μB/f.u.
V: 95 Å³/cell
space group: Pm-3m
energy above the lowest structure with this stoichiometry: 0.00 eV/f.u.
formation energy (no corrections): 83.9 kJ per mole of atoms

Lattice parameters (Å, degrees): 4.5609 4.5609 4.5609 90.00 90.00 90.00
Closest atoms and distances in Å follow each position.
Positions (direct):
Tl (0.0000, 0.0000, 0.0000)  12 Ru 3.23
Ru (0.0000, 0.5000, 0.5000)  2 Se 2.28
Ru (0.5000, 0.0000, 0.5000)  2 Se 2.28
Ru (0.5000, 0.5000, 0.0000)  2 Se 2.28
Se (0.5000, 0.5000, 0.5000)  6 Ru 2.28

5.
The following is a GGA-PBE calculation of a geometry-optimized TlRu3Se structure, from the Alexandria database.

Results
total DFT energy (no corrections): -4.469 eV per atom
total magnetization: 6.9 μB/f.u.
V: 127 Å³/cell
space group: Pm-3m
energy above the lowest structure with this stoichiometry: 6.99 eV/f.u.
formation energy (no corrections): 218.7 kJ per mole of atoms

Lattice parameters (Å, degrees): 5.0268 5.0268 5.0268 90.00 90.00 90.00
Closest atoms and distances in Å follow each position.
Positions (direct):
Tl (0.0000, 0.0000, 0.0000)  6 Ru 2.51
Ru (0.0000, 0.0000, 0.5000)  2 Tl 2.51
Ru (0.0000, 0.5000, 0.0000)  2 Tl 2.51
Ru (0.5000, 0.0000, 0.0000)  2 Tl 2.51
Se (0.5000, 0.5000, 0.5000)  12 Ru 3.55

6.
The following is a GGA-PBE calculation of a geometry-optimized Tl2RuSe2 structure, from the Alexandria database.

Results
total DFT energy (no corrections): -3.708 eV per atom
total magnetization: 0.0 μB/f.u.
V: 122 Å³/cell
space group: I4/mmm
formation energy (no corrections): 47.0 kJ per mole of atoms

Lattice parameters (Å, degrees): 9.6374 9.6374 9.6374 158.33 158.33 30.84
Closest atoms and distances in Å follow each position.
Positions (direct):
Tl (0.0825, 0.0825, 0.0000)  4 Ru 2.99, 1 Tl 3.07
Tl (0.9175, 0.9175, 0.0000)  4 Ru 2.99, 1 Tl 3.07
Ru (0.5000, 0.5000, 0.0000)  8 Tl 2.99
Se (0.2500, 0.7500, 0.5000)  4 Se 2.56
Se (0.7500, 0.2500, 0.5000)  4 Se 2.56

Which of these has the highest V?
number 2